# 1
## BaZnNiPd (PBE)

Data for an optimized crystal structure of BaZnNiPd.

## Properties
total moment: 0.00 μB/atom

Lattice parameters (Å, degrees): 6.069 6.069 6.069 42.47 42.47 42.47
Sites, in units of the cell vectors:
Ba: 0.999 0.999 0.999
Ni: 0.815 0.815 0.815
Pd: 0.190 0.190 0.190
Zn: 0.496 0.496 0.496

=====

# 2
## BaPmNi (PBE)

Data for an optimized crystal structure of BaPmNi.

## Properties
total moment: 0.00 μB/atom

Lattice parameters (Å, degrees): 4.973 4.973 4.973 60.00 60.00 60.00
Sites, in units of the cell vectors:
Ba: 0.250 0.250 0.250
Ni: 0.750 0.750 0.750
Pm: 0.000 0.000 0.000

=====

# 3
## BaPrNi (PBE)

Data for an optimized crystal structure of BaPrNi.

## Properties
total moment: 0.00 μB/atom

Lattice parameters (Å, degrees): 5.004 5.004 5.004 60.00 60.00 60.00
Sites, in units of the cell vectors:
Ba: 0.250 0.250 0.250
Ni: 0.750 0.750 0.750
Pr: 0.000 0.000 0.000

=====

| no. | final energy (eV/atom) |
| --- | --- |
| 1 | -3.837 |
| 2 | -3.468 |
| 3 | -3.499 |